# TmPaCd, relaxed, DFT PBE-GGA
data_TmPaCd
_chemical_formula_sum 'Tm2 Pa2 Cd2'
_cell_length_a 3.193
_cell_length_b 3.193
_cell_length_c 14.891
_cell_angle_alpha 90.00
_cell_angle_beta 90.00
_cell_angle_gamma 90.00
_space_group_name_H-M_alt 'I 4 m m'
_space_group_IT_number 107
_space_group_name_Hall 'I 4 -2'
loop_
_atom_site_label
_atom_site_fract_x
_atom_site_fract_y
_atom_site_fract_z
_atom_site_occupancy
Tm1 0.000 0.000 0.000 1
Pa1 0.000 0.000 0.672 1
Cd1 0.000 0.000 0.340 1
# calculated formation energy	0.045	eV/atom
# N(E_F)	1.71	states/eV per atom
# E above lowest polymorph	0.33	eV per formula unit



# Tm2PaCd, relaxed, DFT PBE-GGA
data_Tm2PaCd
_chemical_formula_sum 'Tm2 Pa1 Cd1'
_cell_length_a 3.394
_cell_length_b 3.394
_cell_length_c 9.087
_cell_angle_alpha 90.00
_cell_angle_beta 90.00
_cell_angle_gamma 90.00
_space_group_name_H-M_alt 'P 4/m m m'
_space_group_IT_number 123
_space_group_name_Hall '-P 4 2'
loop_
_atom_site_label
_atom_site_fract_x
_atom_site_fract_y
_atom_site_fract_z
_atom_site_occupancy
Tm1 0.000 0.000 0.240 1
Pa1 0.500 0.500 0.500 1
Cd1 0.500 0.500 0.000 1
# calculated formation energy	-0.073	eV/atom
# N(E_F)	1.16	states/eV per atom
# E above lowest polymorph	0.00	eV per formula unit



# UPa2Cd, relaxed, DFT PBE-GGA
data_UPa2Cd
_chemical_formula_sum 'U3 Pa6 Cd3'
_cell_length_a 3.6634
_cell_length_b 3.6634
_cell_length_c 29.2322
_cell_angle_alpha 90.00
_cell_angle_beta 90.00
_cell_angle_gamma 120.00
_space_group_name_H-M_alt 'R -3 m'
_space_group_IT_number 166
_space_group_name_Hall '-R 3 2"'
loop_
_atom_site_label
_atom_site_fract_x
_atom_site_fract_y
_atom_site_fract_z
_atom_site_occupancy
U1 0.0000 0.0000 0.0000 1
Pa1 0.0000 0.0000 0.3902 1
Cd1 0.0000 0.0000 0.5000 1
# calculated formation energy	0.686	eV/atom
# N(E_F)	1.67	states/eV per atom
# E above lowest polymorph	1.71	eV per formula unit